(1)
An optimized crystal structure of OsPt2Se, computed with PBE.

Computed properties:
calculated density: 17.04 Mg/m³
energy: -6.356 eV per atom

Cell and atoms, written as CIF:
```
data_OsPt2Se
_chemical_formula_sum 'Os3 Pt6 Se3'
_space_group_name_H-M_alt 'R -3 m'
_space_group_IT_number 166
_space_group_name_Hall '-R 3 2"'
_cell_length_a 2.8430
_cell_length_b 2.8430
_cell_length_c 27.5392
_cell_angle_alpha 90.00
_cell_angle_beta 90.00
_cell_angle_gamma 120.00
loop_
_atom_site_label
_atom_site_fract_x
_atom_site_fract_y
_atom_site_fract_z
Os1 0.0000 0.0000 0.0000
Pt1 0.0000 0.0000 0.2538
Se1 0.0000 0.0000 0.5000
```



(2)
An optimized crystal structure of OsPt2Se, computed with PBE.

Computed properties:
calculated density: 17.10 Mg/m³
energy: -6.424 eV per atom

Cell and atoms, written as CIF:
```
data_OsPt2Se
_chemical_formula_sum 'Os3 Pt6 Se3'
_space_group_name_H-M_alt 'R 3 m'
_space_group_IT_number 160
_space_group_name_Hall 'R 3 -2"'
_cell_length_a 2.8986
_cell_length_b 2.8986
_cell_length_c 26.3968
_cell_angle_alpha 90.00
_cell_angle_beta 90.00
_cell_angle_gamma 120.00
loop_
_atom_site_label
_atom_site_fract_x
_atom_site_fract_y
_atom_site_fract_z
Os1 0.0000 0.0000 0.0000
Pt1 0.0000 0.0000 0.2492
Pt2 0.0000 0.0000 0.4947
Se1 0.0000 0.0000 0.7369
```



(3)
An optimized crystal structure of OsPt2Se, computed with PBE.

Computed properties:
calculated density: 12.82 Mg/m³
energy: -5.988 eV per atom

Cell and atoms, written as CIF:
```
data_OsPt2Se
_chemical_formula_sum 'Os4 Pt8 Se4'
_space_group_name_H-M_alt 'I -4 2 d'
_space_group_IT_number 122
_space_group_name_Hall 'I -4 2bw'
_cell_length_a 6.332
_cell_length_b 6.332
_cell_length_c 8.521
_cell_angle_alpha 90.00
_cell_angle_beta 90.00
_cell_angle_gamma 90.00
loop_
_atom_site_label
_atom_site_fract_x
_atom_site_fract_y
_atom_site_fract_z
Os1 0.000 0.000 0.000
Pt1 0.239 0.250 0.125
Se1 0.000 0.000 0.500
```



Listing formation energy (no corrections) for the structures above in their given order: 0.34; 0.27; 0.71 eV per atom.